Material: Tb2Pm2DyMg5
Method: DFT, PBE
State: optimized geometry

```
Tb2Pm2DyMg5
1.0
5.092 0.000 0.000
0.000 10.621 0.000
0.000 0.000 10.621
Tb Pm Dy Mg
4 4 2 10
direct
0.000 0.121 0.621 Tb
0.000 0.879 0.379 Tb
0.000 0.621 0.879 Tb
0.000 0.379 0.121 Tb
0.000 0.677 0.177 Pm
0.000 0.323 0.823 Pm
0.000 0.177 0.323 Pm
0.000 0.823 0.677 Pm
0.000 0.000 0.000 Dy
0.000 0.500 0.500 Dy
0.500 0.197 0.070 Mg
0.500 0.803 0.930 Mg
0.500 0.070 0.803 Mg
0.500 0.697 0.430 Mg
0.500 0.930 0.197 Mg
0.500 0.303 0.570 Mg
0.500 0.570 0.697 Mg
0.500 0.430 0.303 Mg
0.500 0.500 0.000 Mg
0.500 0.000 0.500 Mg
```

Computed properties:
Energy of formation = 0.04 eV/atom
Fermi-level density of states = 13.7 states/eV per cell
ρ = 5.2 g/cm³


Material: SbPd2W
Method: DFT, PBE
State: optimized geometry

```
SbPd2W
1.0
3.964 0.000 0.000
0.000 3.964 0.000
1.982 1.982 9.442
Sb Pd W
2 4 2
direct
0.500 0.500 0.000 Sb
0.250 0.750 0.500 Sb
0.631 0.125 0.250 Pd
0.119 0.625 0.250 Pd
0.375 0.369 0.750 Pd
0.875 0.881 0.750 Pd
0.000 0.000 0.000 W
0.750 0.250 0.500 W
```

Computed properties:
Fermi-level density of states = 9.3 states/eV per cell
Energy relative to the elements, uncorrected = 454 meV/atom
ρ = 11.6 g/cm³


Material: Zr3Ga4Tc2
Method: DFT, PBE
State: optimized geometry

```
Zr3Ga4Tc2
1.0
-2.975 -3.070 -0.964
5.123 -1.760 -0.247
-2.790 0.298 7.666
Zr Ga Tc
3 4 2
direct
0.656 0.312 0.681 Zr
0.000 0.000 0.000 Zr
0.344 0.688 0.319 Zr
0.711 0.421 0.058 Ga
0.289 0.579 0.942 Ga
0.940 0.881 0.621 Ga
0.060 0.119 0.379 Ga
0.677 0.354 0.349 Tc
0.323 0.646 0.651 Tc
```

Computed properties:
Energy of formation = -0.41 eV/atom
Fermi-level density of states = 4.6 states/eV per cell
ρ = 7.7 g/cm³


Material: HfBeGa2Cl
Method: DFT, PBE
State: optimized geometry

```
HfBeGa2Cl
1.0
-4.287 -0.807 -2.534
-0.959 -2.746 2.497
-2.341 3.426 2.869
Be Hf Ga Cl
1 1 2 1
direct
0.000 0.500 0.000 Be
0.500 0.500 0.500 Hf
0.000 0.000 0.500 Ga
0.500 0.000 0.000 Ga
0.000 0.000 0.000 Cl
```

Computed properties:
Fermi-level density of states = 5.1 states/eV per cell
Energy relative to the elements, uncorrected = 633 meV/atom
ρ = 6.2 g/cm³


Material: Ho3ErTm3Se8
Method: DFT, PBE
State: optimized geometry

```
Ho3ErTm3Se8
1.0
-6.514 2.345 -4.093
-0.800 -4.681 6.491
2.242 7.682 0.833
Ho Er Tm Se
3 1 3 8
direct
0.000 0.000 0.000 Ho
0.000 0.500 0.000 Ho
0.500 0.500 0.000 Ho
0.000 0.000 0.500 Er
0.500 0.000 0.500 Tm
0.500 0.500 0.500 Tm
0.000 0.500 0.500 Tm
0.251 0.502 0.253 Se
0.749 0.498 0.747 Se
0.746 0.493 0.249 Se
0.254 0.507 0.751 Se
0.747 0.002 0.249 Se
0.253 0.998 0.751 Se
0.256 0.002 0.249 Se
0.744 0.998 0.751 Se
```

Computed properties:
Fermi-level density of states = 5.9 states/eV per cell
Energy relative to the elements, uncorrected = -1794 meV/atom
ρ = 8.1 g/cm³


Material: BaSr2LiCd
Method: DFT, PBE
State: optimized geometry

```
BaSr2LiCd
1.0
-6.066 1.079 2.051
-2.296 -2.026 -5.726
-0.262 -5.102 1.910
Sr Li Ba Cd
2 1 1 1
direct
0.000 0.500 0.000 Sr
0.500 0.000 0.000 Sr
0.000 0.000 0.500 Li
0.500 0.500 0.500 Ba
0.000 0.000 0.000 Cd
```

Computed properties:
Energy of formation = 0.01 eV/atom
Fermi-level density of states = 4.1 states/eV per cell
ρ = 3.1 g/cm³
Energy above the lowest structure with this stoichiometry = 0.0 meV/atom